Entry 1:
A relaxed NbTlCr2Ge crystal, computed with PBE.

Cell: 4.5580 4.5580 5.1742 Å, 90.00 90.00 90.00°
Last column: nearest neighbours and their distance in Å.
Space group P4/mmm (No. 123)
Inequivalent atoms, fractional coordinates:
Nb 0.0000 0.0000 0.0000 [1 per cell]  4 Tl 3.22, 8 Cr 3.45
Tl 0.5000 0.5000 0.0000 [1 per cell]  2 Ge 2.59
Cr 0.0000 0.5000 0.5000 [2 per cell]  2 Ge 2.28
Ge 0.5000 0.5000 0.5000 [1 per cell]  4 Cr 2.28


Entry 2:
A relaxed InSi2Au crystal, computed with PBE.

Calculated values
formation energy from raw total energies: 233 meV per atom

Cell: 4.5911 4.5911 16.1339 Å, 90.00 90.00 90.00°
Last column: nearest neighbours and their distance in Å.
Space group I-42d (No. 122)
Inequivalent atoms, fractional coordinates:
In 0.0000 0.0000 0.0000 [4 per cell]  4 Si 2.75
Si 0.1773 0.2500 0.6250 [8 per cell]  2 Au 2.46, 2 In 2.75
Au 0.0000 0.0000 0.5000 [4 per cell]  4 Si 2.46


Entry 3:
A relaxed AcHfCo crystal, computed with PBE.

Cell: 6.4805 6.4525 7.7996 Å, 90.00 95.92 90.00°
Last column: nearest neighbours and their distance in Å.
Space group C2/m (No. 12)
Inequivalent atoms, fractional coordinates:
Ac 0.2447 0.0000 0.3232 [4 per cell]  2 Co 3.11
Hf 0.2098 0.5000 0.1248 [4 per cell]  4 Co 2.51-2.55
Co 0.0000 0.1990 0.0000 [4 per cell]  4 Hf 2.51-2.55, 1 Co 2.57


Entry 4:
A relaxed SrY2Sb crystal, computed with PBE.

Calculated values
formation energy from raw total energies: -328 meV per atom

Cell: 4.8910 4.9794 4.9899 Å, 90.00 90.00 90.00°
Last column: nearest neighbours and their distance in Å.
Space group Pmmm (No. 47)
Inequivalent atoms, fractional coordinates:
Sr 0.0000 0.0000 0.0000 [1 per cell]  8 Y 3.49, 4 Sb 3.52
Y 0.5000 0.0000 0.5000 [1 per cell]  4 Sb 3.49, 4 Sr 3.49, 4 Y 3.52
Y 0.5000 0.5000 0.0000 [1 per cell]  4 Sr 3.49, 4 Sb 3.49, 4 Y 3.52
Sb 0.0000 0.5000 0.5000 [1 per cell]  8 Y 3.49, 4 Sr 3.52


| no. | uncorrected energy (eV/atom) | total moment (μB per cell) |
| --- | --- | --- |
| 1 | -6.012 | 4.095 |
| 2 | -3.982 | 0.000 |
| 3 | -7.079 | 0.000 |
| 4 | -5.011 | 0.000 |